{
  "formula": "BaBRu2",
  "functional": "PBE",
  "state": "optimized geometry",
  "dft_energy_ev_per_atom": -6.287,
  "total_magnetization_mub_per_fu": 1.7,
  "dos_at_fermi_per_ev_atom": 0.634,
  "cell": [[6.342, 0.000, 0.000], [0.000, 6.342, 0.000], [0.000, 0.000, 8.993]],
  "species": ["Ba", "Ba", "Ba", "Ba", "B", "B", "B", "B", "Ru", "Ru", "Ru", "Ru", "Ru", "Ru", "Ru", "Ru"],
  "fractional_positions": [[0.000, 0.250, 0.375], [0.000, 0.750, 0.625], [0.500, 0.250, 0.125], [0.500, 0.750, 0.875], [0.000, 0.250, 0.875], [0.000, 0.750, 0.125], [0.500, 0.250, 0.625], [0.500, 0.750, 0.375], [0.000, 0.000, 0.000], [0.000, 0.500, 0.000], [0.250, 0.250, 0.750], [0.250, 0.750, 0.250], [0.500, 0.000, 0.500], [0.500, 0.500, 0.500], [0.750, 0.250, 0.750], [0.750, 0.750, 0.250]]
}